An optimized crystal structure of ZrSiP3. Source: the Alexandria database, functional GGA-PBE.

Properties
Size of the total moment   0.00 μB/atom
Raw total energy   -28.56 eV for the cell shown
Energy relative to the elements, uncorrected   31.7 kJ per mole of atoms
Excess energy over the best structure of this formula in the dataset   0 meV/atom

a = 4.497 Å, b = 4.497 Å, c = 4.497 Å
α = 90.00°, β = 90.00°, γ = 90.00°
Positions (direct):
1 Zr 0.000 0.000 0.000
2 Si 0.500 0.500 0.500
3 P 0.000 0.500 0.500
4 P 0.500 0.000 0.500
5 P 0.500 0.500 0.000